# 1
Below is a relaxed SiP crystal, with properties calculated at the GGA-PBE level.

Output
DOS(E_F) = 1.12 states/eV/cell
E = -5.32 eV per atom

abc: 3.4518 3.4518 5.9677
angles: 90.00 90.00 120.00
Space group P6_3/mmc (No. 194)
Symmetry-distinct sites (fractional):
Si 0.0000 0.0000 0.0000 x2
P 0.3333 0.6667 0.2500 x2

---

# 2
Below is a relaxed Hg3SbBr crystal, with properties calculated at the GGA-PBE level.

Output
DOS(E_F) = 3.47 states/eV/cell
energy above the most stable polymorph in this dataset = 0.701 eV per atom

abc: 5.622 5.622 5.622
angles: 90.00 90.00 90.00
Space group Pm-3m (No. 221)
Symmetry-distinct sites (fractional):
Hg 0.000 0.000 0.500 x3
Sb 0.500 0.500 0.500 x1
Br 0.000 0.000 0.000 x1

---

# 3
Below is a relaxed NpSiSn crystal, with properties calculated at the GGA-PBE level.

Output
DOS(E_F) = 15.61 states/eV/cell
E = -7.54 eV per atom

abc: 4.794 13.495 3.709
angles: 90.00 90.00 90.00
Space group Cmcm (No. 63)
Symmetry-distinct sites (fractional):
Np 0.000 0.059 0.250 x4
Si 0.000 0.436 0.250 x4
Sn 0.000 0.260 0.750 x4

---

# 4
Below is a relaxed Cr2ReOs crystal, with properties calculated at the GGA-PBE level.

Output
DOS(E_F) = 8.00 states/eV/cell
energy of formation from the pure elements = 0.0879 eV/atom

abc: 2.924 4.257 8.481
angles: 90.00 90.00 90.00
Space group Imm2 (No. 44)
Symmetry-distinct sites (fractional):
Cr 0.000 0.000 0.000 x2
Cr 0.000 0.500 0.288 x2
Re 0.000 0.500 0.758 x2
Os 0.000 0.000 0.529 x2

---

# 5
Below is a relaxed Pr8Nd6Tm crystal, with properties calculated at the GGA-PBE level.

Output
DOS(E_F) = 68.14 states/eV/cell
energy of formation from the pure elements = 0.1066 eV/atom

abc: 9.3601 9.3601 21.2489
angles: 90.00 90.00 120.00
Space group R-3 (No. 148, hexagonal axes)
Symmetry-distinct sites (fractional):
Pr 0.0000 0.0000 0.0781 x6
Pr 0.0805 0.5586 0.3062 x18
Nd 0.0516 0.2475 0.2073 x18
Tm 0.0000 0.0000 0.5000 x3

---

# 6
Below is a relaxed NpInHg2I6 crystal, with properties calculated at the GGA-PBE level.

Output
DOS(E_F) = 25.17 states/eV/cell
E = -2.98 eV per atom

abc: 8.9039 8.9039 21.7915
angles: 90.00 90.00 120.00
Space group R-3m (No. 166, hexagonal axes)
Symmetry-distinct sites (fractional):
Np 0.0000 0.0000 0.0000 x3
In 0.0000 0.0000 0.5000 x3
Hg 0.0000 0.0000 0.2501 x6
I 0.0229 0.5115 0.7443 x18

---

Copy entry 1 word for word.
Below is a relaxed SiP crystal, with properties calculated at the GGA-PBE level.

Output
DOS(E_F) = 1.12 states/eV/cell
E = -5.32 eV per atom

abc: 3.4518 3.4518 5.9677
angles: 90.00 90.00 120.00
Space group P6_3/mmc (No. 194)
Symmetry-distinct sites (fractional):
Si 0.0000 0.0000 0.0000 x2
P 0.3333 0.6667 0.2500 x2

---

Q: Among the records above, which one has the lowest DOS(E_F)?
A: SiP